# 1
Below is a geometry-optimized Zr2CrSb structure, with properties calculated at the PBE-GGA level.

The structure in CIF format:
```
data_Zr2CrSb
_chemical_formula_sum 'Zr4 Cr2 Sb2'
_space_group_name_H-M_alt 'A m m 2'
_space_group_IT_number 38
_space_group_name_Hall 'A 2 -2'
_cell_length_a 4.1696
_cell_length_b 3.7562
_cell_length_c 10.6795
_cell_angle_alpha 90.00
_cell_angle_beta 90.00
_cell_angle_gamma 90.00
loop_
_atom_site_label
_atom_site_fract_x
_atom_site_fract_y
_atom_site_fract_z
Zr1 0.0000 0.0000 0.0000
Zr2 0.5000 0.0000 0.3004
Cr1 0.5000 0.0000 0.5554
Sb1 0.0000 0.0000 0.7210
```

E_tot = -7.934 eV/atom
uncorrected formation energy = -223 meV/atom
D(E_F) = 3.489 states/eV/f.u.
total magnetization = 0.525 μB per atom

# 2
Below is a geometry-optimized PaCuNi3 structure, with properties calculated at the PBE-GGA level.

The structure in CIF format:
```
data_PaCuNi3
_chemical_formula_sum 'Pa4 Cu4 Ni12'
_space_group_name_H-M_alt 'P n m a'
_space_group_IT_number 62
_space_group_name_Hall '-P 2ac 2n'
_cell_length_a 8.3434
_cell_length_b 3.7760
_cell_length_c 9.2383
_cell_angle_alpha 90.00
_cell_angle_beta 90.00
_cell_angle_gamma 90.00
loop_
_atom_site_label
_atom_site_fract_x
_atom_site_fract_y
_atom_site_fract_z
Pa1 0.1912 0.2500 0.0095
Cu1 0.0520 0.2500 0.3925
Ni1 0.0698 0.7500 0.1993
Ni2 0.1426 0.7500 0.8131
Ni3 0.1491 0.2500 0.6417
```

E_tot = -6.382 eV/atom
formation enthalpy at 0 K = -19 kJ/mol of atoms
D(E_F) = 3.616 states/eV/f.u.
total magnetization = 0.000 μB per atom
distance to the lowest polymorph of the same formula = 0.000 eV/atom

# 3
Below is a geometry-optimized KVHg structure, with properties calculated at the PBE-GGA level.

The structure in CIF format:
```
data_KVHg
_chemical_formula_sum 'K2 V2 Hg2'
_space_group_name_H-M_alt 'P -1'
_space_group_IT_number 2
_space_group_name_Hall '-P 1'
_cell_length_a 3.3393
_cell_length_b 3.3398
_cell_length_c 13.9718
_cell_angle_alpha 91.27
_cell_angle_beta 92.49
_cell_angle_gamma 90.26
loop_
_atom_site_label
_atom_site_fract_x
_atom_site_fract_y
_atom_site_fract_z
K1 0.2397 0.2075 0.3525
V1 0.1963 0.1921 0.0459
Hg1 0.2848 0.2995 0.8334
```

E_tot = -3.209 eV/atom
formation enthalpy at 0 K = 29 kJ/mol of atoms
D(E_F) = 2.414 states/eV/f.u.
total magnetization = 0.000 μB per atom
distance to the lowest polymorph of the same formula = 0.000 eV/atom

# 4
Below is a geometry-optimized ErPbS3 structure, with properties calculated at the PBE-GGA level.

The structure in CIF format:
```
data_ErPbS3
_chemical_formula_sum 'Er2 Pb2 S6'
_space_group_name_H-M_alt 'P 1 21/m 1'
_space_group_IT_number 11
_space_group_name_Hall '-P 2yb'
_cell_length_a 7.0864
_cell_length_b 4.0635
_cell_length_c 9.2117
_cell_angle_alpha 90.00
_cell_angle_beta 95.28
_cell_angle_gamma 90.00
loop_
_atom_site_label
_atom_site_fract_x
_atom_site_fract_y
_atom_site_fract_z
Er1 0.1543 0.2500 0.1368
Pb1 0.2744 0.2500 0.5638
S1 0.0944 0.7500 0.3410
S2 0.2101 0.7500 0.9599
S3 0.4882 0.2500 0.3202
```

E_tot = -5.187 eV/atom
uncorrected formation energy = -1057 meV/atom
D(E_F) = 3.737 states/eV/f.u.
total magnetization = 0.000 μB per atom

# 5
Below is a geometry-optimized SmSiMo structure, with properties calculated at the PBE-GGA level.

The structure in CIF format:
```
data_SmSiMo
_chemical_formula_sum 'Sm2 Si2 Mo2'
_space_group_name_H-M_alt 'P 4/n m m'
_space_group_IT_number 129
_cell_length_a 3.9358
_cell_length_b 3.9358
_cell_length_c 7.8672
_cell_angle_alpha 90.00
_cell_angle_beta 90.00
_cell_angle_gamma 90.00
loop_
_space_group_symop_operation_xyz
'x,y,z'
'-x,-y,-z'
'-y+1/2,x,z'
'y+1/2,-x,-z'
'-x+1/2,-y+1/2,z'
'x+1/2,y+1/2,-z'
'y,-x+1/2,z'
'-y,x+1/2,-z'
'x+1/2,-y,-z'
'-x+1/2,y,z'
'-y,-x,-z'
'y,x,z'
'-x,y+1/2,-z'
'x,-y+1/2,z'
'y+1/2,x+1/2,-z'
'-y+1/2,-x+1/2,z'
loop_
_atom_site_label
_atom_site_fract_x
_atom_site_fract_y
_atom_site_fract_z
Sm1 0.2500 0.2500 0.1463
Si1 0.2500 0.2500 0.7216
Mo1 0.2500 0.7500 0.5000
```

E_tot = -7.479 eV/atom
uncorrected formation energy = -488 meV/atom
D(E_F) = 2.425 states/eV/f.u.
total magnetization = 0.010 μB per atom

# 6
Below is a geometry-optimized NpScCd2O6 structure, with properties calculated at the PBE-GGA level.

The structure in CIF format:
```
data_NpScCd2O6
_chemical_formula_sum 'Np2 Sc2 Cd4 O12'
_space_group_name_H-M_alt 'P 1 21/c 1'
_space_group_IT_number 14
_space_group_name_Hall '-P 2ybc'
_cell_length_a 5.6114
_cell_length_b 5.7624
_cell_length_c 9.9376
_cell_angle_alpha 90.00
_cell_angle_beta 124.09
_cell_angle_gamma 90.00
loop_
_atom_site_label
_atom_site_fract_x
_atom_site_fract_y
_atom_site_fract_z
Np1 0.0000 0.0000 0.0000
Sc1 0.5000 0.0000 0.5000
Cd1 0.2438 0.0439 0.7490
O1 0.1258 0.1895 0.4405
O2 0.2528 0.6900 0.4387
O3 0.3658 0.0596 0.2543
```

E_tot = -7.382 eV/atom
uncorrected formation energy = -2297 meV/atom
D(E_F) = 7.091 states/eV/f.u.
total magnetization = 0.200 μB per atom

# 7
Below is a geometry-optimized NaCdReB2 structure, with properties calculated at the PBE-GGA level.

The structure in CIF format:
```
data_NaCdReB2
_chemical_formula_sum 'Na1 Cd1 Re1 B2'
_space_group_name_H-M_alt 'P 4/m m m'
_space_group_IT_number 123
_space_group_name_Hall '-P 4 2'
_cell_length_a 4.3248
_cell_length_b 4.3248
_cell_length_c 4.6432
_cell_angle_alpha 90.00
_cell_angle_beta 90.00
_cell_angle_gamma 90.00
loop_
_atom_site_label
_atom_site_fract_x
_atom_site_fract_y
_atom_site_fract_z
Na1 0.0000 0.0000 0.0000
Cd1 0.0000 0.0000 0.5000
Re1 0.5000 0.5000 0.5000
B1 0.0000 0.5000 0.0000
```

E_tot = -2.810 eV/atom
formation enthalpy at 0 K = 270 kJ/mol of atoms
D(E_F) = 3.091 states/eV/f.u.
total magnetization = 0.510 μB per atom

# 8
Below is a geometry-optimized CsTlTeO2 structure, with properties calculated at the PBE-GGA level.

The structure in CIF format:
```
data_CsTlTeO2
_chemical_formula_sum 'Cs1 Tl1 Te1 O2'
_space_group_name_H-M_alt 'P 4/m m m'
_space_group_IT_number 123
_space_group_name_Hall '-P 4 2'
_cell_length_a 4.4703
_cell_length_b 4.4703
_cell_length_c 9.3331
_cell_angle_alpha 90.00
_cell_angle_beta 90.00
_cell_angle_gamma 90.00
loop_
_atom_site_label
_atom_site_fract_x
_atom_site_fract_y
_atom_site_fract_z
Cs1 0.0000 0.0000 0.0000
Tl1 0.0000 0.0000 0.5000
Te1 0.5000 0.5000 0.5000
O1 0.0000 0.5000 0.0000
```

E_tot = -2.855 eV/atom
uncorrected formation energy = 401 meV/atom
D(E_F) = 2.796 states/eV/f.u.
total magnetization = 0.139 μB per atom

# 9
Below is a geometry-optimized CaZn2Ag5 structure, with properties calculated at the PBE-GGA level.

The structure in CIF format:
```
data_CaZn2Ag5
_chemical_formula_sum 'Ca2 Zn4 Ag10'
_space_group_name_H-M_alt 'I m m m'
_space_group_IT_number 71
_space_group_name_Hall '-I 2 2'
_cell_length_a 3.9378
_cell_length_b 7.8256
_cell_length_c 10.3110
_cell_angle_alpha 90.00
_cell_angle_beta 90.00
_cell_angle_gamma 90.00
loop_
_atom_site_label
_atom_site_fract_x
_atom_site_fract_y
_atom_site_fract_z
Ca1 0.0000 0.0000 0.0000
Zn1 0.0000 0.5000 0.2585
Ag1 0.0000 0.1955 0.3567
Ag2 0.0000 0.5000 0.0000
```

E_tot = -2.444 eV/atom
formation enthalpy at 0 K = -9 kJ/mol of atoms
D(E_F) = 2.812 states/eV/f.u.
total magnetization = 0.000 μB per atom

# 10
Below is a geometry-optimized K2Sn2Ir structure, with properties calculated at the PBE-GGA level.

The structure in CIF format:
```
data_K2Sn2Ir
_chemical_formula_sum 'K4 Sn4 Ir2'
_space_group_name_H-M_alt 'P 4/m b m'
_space_group_IT_number 127
_space_group_name_Hall '-P 4 2ab'
_cell_length_a 7.0113
_cell_length_b 7.0113
_cell_length_c 5.9809
_cell_angle_alpha 90.00
_cell_angle_beta 90.00
_cell_angle_gamma 90.00
loop_
_atom_site_label
_atom_site_fract_x
_atom_site_fract_y
_atom_site_fract_z
K1 0.1793 0.3207 0.0000
Sn1 0.1525 0.6525 0.5000
Ir1 0.0000 0.0000 0.5000
```

E_tot = -3.860 eV/atom
formation enthalpy at 0 K = -5 kJ/mol of atoms
D(E_F) = 4.061 states/eV/f.u.
total magnetization = 0.000 μB per atom

# 11
Below is a geometry-optimized AcHoIn structure, with properties calculated at the PBE-GGA level.

The structure in CIF format:
```
data_AcHoIn
_chemical_formula_sum 'Ac2 Ho2 In2'
_space_group_name_H-M_alt 'I 4 m m'
_space_group_IT_number 107
_space_group_name_Hall 'I 4 -2'
_cell_length_a 3.7777
_cell_length_b 3.7777
_cell_length_c 13.9590
_cell_angle_alpha 90.00
_cell_angle_beta 90.00
_cell_angle_gamma 90.00
loop_
_atom_site_label
_atom_site_fract_x
_atom_site_fract_y
_atom_site_fract_z
Ac1 0.0000 0.0000 0.0000
Ho1 0.0000 0.0000 0.6966
In1 0.0000 0.0000 0.3274
```

E_tot = -4.060 eV/atom
formation enthalpy at 0 K = -24 kJ/mol of atoms
D(E_F) = 1.773 states/eV/f.u.
total magnetization = 0.000 μB per atom
distance to the lowest polymorph of the same formula = 0.058 eV/atom

Which of these has the highest D(E_F)?
NpScCd2O6

Which value of total magnetization does entry 7 give?
0.510 μB per atom